The following is a DFT calculation (GGA+U) of crystalline NaSiWO5 at its relaxed geometry.

POSCAR file:
```
NaSiWO5
1.0
5.571 0.138 -0.080
-1.495 5.369 -0.080
-1.791 -2.419 6.794
Na W O Si
2 2 10 2
direct
0.669 0.331 0.750
0.331 0.669 0.250
0.000 0.000 0.500
0.000 0.000 0.000
0.121 0.697 0.881
0.244 0.376 0.605
0.879 0.303 0.119
0.303 0.879 0.619
0.697 0.121 0.381
0.756 0.624 0.395
0.624 0.756 0.895
0.068 0.932 0.250
0.376 0.244 0.105
0.932 0.068 0.750
0.318 0.682 0.750
0.682 0.318 0.250
```

* raw total energy: -115.01 eV for the cell shown